Entry 1:
BIrO2F | PBE | optimized geometry

Calculated values
volume: 8.5 Å³/atom
crystal system: tetragonal
density of states at the Fermi level: 2.07 states/eV/f.u.
DFT total energy: -5.348 eV/atom
formation energy (no corrections): 0.58 eV per formula unit

Cell: 3.7476 3.7476 3.0250 Å, 90.00 90.00 90.00°
Last column: nearest neighbours and their distance in Å.
Space group P4/mmm (No. 123)
Unique sites:
B1 0.0000 0.0000 0.0000 (multiplicity 1)  2 F 1.51
Ir1 0.5000 0.5000 0.5000 (multiplicity 1)  8 O 2.41, 4 F 2.65
O1 0.0000 0.5000 0.0000 (multiplicity 2)  2 B 1.87
F1 0.0000 0.0000 0.5000 (multiplicity 1)  2 B 1.51



Entry 2:
KIn2PdPb | PBE | optimized geometry

Calculated values
energy relative to the elements: -0.114 eV/atom
volume: 31.1 Å³/atom
crystal system: tetragonal
density of states at the Fermi level: 2.97 states/eV/f.u.
DFT total energy: -3.209 eV/atom

Cell: 5.2758 5.2758 5.5910 Å, 90.00 90.00 90.00°
Last column: nearest neighbours and their distance in Å.
Space group P4/mmm (No. 123)
Unique sites:
K1 0.0000 0.0000 0.0000 (multiplicity 1)  4 Pb 3.73, 8 In 3.84
In1 0.0000 0.5000 0.5000 (multiplicity 2)  2 Pd 2.64
Pd1 0.5000 0.5000 0.5000 (multiplicity 1)  4 In 2.64, 2 Pb 2.80
Pb1 0.5000 0.5000 0.0000 (multiplicity 1)  2 Pd 2.80



Entry 3:
MoIrSeN2 | PBE | optimized geometry

Calculated values
volume: 21.6 Å³/atom
crystal system: tetragonal
distance to the lowest polymorph of the same formula: 86 meV per atom
density of states at the Fermi level: 2.85 states/eV/f.u.
DFT total energy: -6.867 eV/atom
formation energy (no corrections): 5.49 eV per formula unit

Cell: 3.7209 3.7209 7.8013 Å, 90.00 90.00 90.00°
Last column: nearest neighbours and their distance in Å.
Space group P4/mmm (No. 123)
Unique sites:
Mo1 0.0000 0.0000 0.0000 (multiplicity 1)  4 Se 2.63
Ir1 0.5000 0.5000 0.5000 (multiplicity 1)  4 N 1.86
Se1 0.5000 0.5000 0.0000 (multiplicity 1)  4 Mo 2.63
N1 0.0000 0.5000 0.5000 (multiplicity 2)  2 Ir 1.86